(1)
Entry from Alexandria via LeMat-Bulk: AlCo2W after structural relaxation (PBE).

Lattice parameters (Å, degrees): 8.7647 2.7125 4.3791 90.00 102.07 90.00
Space group Cm (No. 8)
Asymmetric unit:
1 Al 0.0000 0.0000 0.0000 [2 per cell]
2 Co 0.0157 0.5000 0.5215 [2 per cell]
3 Co 0.2576 0.0000 0.8401 [2 per cell]
4 W 0.2670 0.5000 0.3473 [2 per cell]

Calculated values
- Size of the total moment: 0.00 μB per formula unit
- DOS(E_F): 2.99 states/eV/f.u.
- Calculated formation energy: -0.13 eV/atom
- Energy: -7.860 eV/atom

(2)
Entry from Alexandria via LeMat-Bulk: NaCe2Er after structural relaxation (PBE).

Lattice parameters (Å, degrees): 3.3451 3.3451 38.4334 90.00 90.00 120.00
Space group R-3m (No. 166, hexagonal axes)
Asymmetric unit:
1 Na 0.0000 0.0000 0.0000 [3 per cell]
2 Ce 0.0000 0.0000 0.0912 [6 per cell]
3 Er 0.0000 0.0000 0.5000 [3 per cell]

Calculated values
- Size of the total moment: 1.87 μB per formula unit
- DOS(E_F): 10.34 states/eV/f.u.
- Calculated formation energy: 0.23 eV/atom
- Energy: -4.207 eV/atom